[1]
Compound: K2NiOs
Source: Alexandria via LeMat-Bulk
Functional: GGA-PBE
Structure: optimized geometry

abc: 7.077 7.077 7.077
angles: 90.00 90.00 90.00
Positions (direct):
K: 0.000 0.000 0.000
K: 0.000 0.500 0.500
K: 0.250 0.250 0.250
K: 0.250 0.750 0.750
K: 0.500 0.000 0.500
K: 0.500 0.500 0.000
K: 0.750 0.250 0.750
K: 0.750 0.750 0.250
Ni: 0.000 0.000 0.500
Ni: 0.000 0.500 0.000
Ni: 0.500 0.000 0.000
Ni: 0.500 0.500 0.500
Os: 0.250 0.250 0.750
Os: 0.250 0.750 0.250
Os: 0.750 0.250 0.250
Os: 0.750 0.750 0.750

Summary:
- Energy: -3.2903 eV/atom
- Space group: F-43m, No. 216
- Energy relative to the lowest polymorph listed for this composition: 315.1 kJ/mol of formula units
- Energy of formation from the pure elements: 1511 meV/atom

***

[2]
Compound: SrGeTe2
Source: Alexandria via LeMat-Bulk
Functional: GGA-PBE
Structure: optimized geometry

abc: 5.007 5.007 26.297
angles: 90.00 90.00 120.00
Positions (direct):
Sr: 0.000 0.000 0.000
Sr: 0.333 0.667 0.667
Sr: 0.667 0.333 0.333
Ge: 0.000 0.000 0.500
Ge: 0.333 0.667 0.167
Ge: 0.667 0.333 0.833
Te: 0.000 0.000 0.397
Te: 0.000 0.000 0.603
Te: 0.333 0.667 0.064
Te: 0.333 0.667 0.270
Te: 0.667 0.333 0.730
Te: 0.667 0.333 0.936

Summary:
- Energy: -3.4957 eV/atom
- Space group: R-3m, No. 166
- Raw formation energy: -350 meV/atom

***

[3]
Compound: Rb2CaMoI6
Source: Alexandria via LeMat-Bulk
Functional: GGA-PBE
Structure: optimized geometry

abc: 8.388 8.388 8.388
angles: 60.00 60.00 60.00
Positions (direct):
Rb: 0.250 0.250 0.250
Rb: 0.750 0.750 0.750
Ca: 0.000 0.000 0.000
Mo: 0.500 0.500 0.500
I: 0.261 0.261 0.739
I: 0.261 0.739 0.261
I: 0.261 0.739 0.739
I: 0.739 0.261 0.261
I: 0.739 0.261 0.739
I: 0.739 0.739 0.261

Summary:
- Energy: -3.3101 eV/atom
- Space group: Fm-3m, No. 225
- Raw formation energy: -903 meV/atom

***

[4]
Compound: HgPPb2
Source: Alexandria via LeMat-Bulk
Functional: GGA-PBE
Structure: optimized geometry

abc: 6.971 4.044 8.408
angles: 90.00 106.28 90.00
Positions (direct):
Hg: 0.000 0.000 0.000
Hg: 0.500 0.500 0.000
P: 0.000 0.500 0.500
P: 0.500 0.000 0.500
Pb: 0.236 0.000 0.709
Pb: 0.264 0.500 0.291
Pb: 0.736 0.500 0.709
Pb: 0.764 0.000 0.291

Summary:
- Energy: -3.2401 eV/atom
- Space group: C2/m, No. 12
- Energy relative to the lowest polymorph listed for this composition: 0.0 kJ/mol of formula units
- Energy of formation from the pure elements: 42 meV/atom

***

[5]
Compound: Sc3Pt2
Source: Alexandria via LeMat-Bulk
Functional: GGA-PBE
Structure: optimized geometry

abc: 3.358 3.358 17.011
angles: 90.00 90.00 90.00
Positions (direct):
Sc: 0.000 0.000 0.000
Sc: 0.000 0.000 0.186
Sc: 0.000 0.000 0.814
Sc: 0.500 0.500 0.314
Sc: 0.500 0.500 0.500
Sc: 0.500 0.500 0.686
Pt: 0.000 0.000 0.406
Pt: 0.000 0.000 0.594
Pt: 0.500 0.500 0.094
Pt: 0.500 0.500 0.906

Summary:
- Energy: -7.1946 eV/atom
- Space group: I4/mmm, No. 139
- Energy relative to the lowest polymorph listed for this composition: 44.9 kJ/mol of formula units
- Energy of formation from the pure elements: -979 meV/atom

***

[6]
Compound: FeCoW2
Source: Alexandria via LeMat-Bulk
Functional: GGA-PBE
Structure: optimized geometry

abc: 8.742 2.700 4.755
angles: 90.00 100.16 90.00
Positions (direct):
Fe: 0.000 0.000 0.000
Fe: 0.500 0.500 0.000
Co: 0.000 0.500 0.500
Co: 0.500 0.000 0.500
W: 0.246 0.000 0.748
W: 0.254 0.500 0.252
W: 0.746 0.500 0.748
W: 0.754 0.000 0.252

Summary:
- Energy: -10.0643 eV/atom
- Space group: C2/m, No. 12
- Energy relative to the lowest polymorph listed for this composition: 79.5 kJ/mol of formula units
- Energy of formation from the pure elements: 304 meV/atom

***

- Which value of energy does entry 1 give?
  -3.2903 eV/atom

***

- Which of these has the lowest energy?
  FeCoW2

***

- Among the records above, which one has the lowest energy?
  FeCoW2